(1)
VASP calculation (PBE-GGA) on Tb2Dy5Y2 after structural relaxation.

Unit cell a=8.666 b=8.666 c=6.286 alpha=104.22 beta=104.22 gamma=39.18
Atoms (fractional coordinates):
Tb 0.102 0.102 0.016
Tb 0.898 0.898 0.984
Dy 0.000 0.000 0.500
Dy 0.210 0.210 0.571
Dy 0.322 0.322 0.142
Dy 0.678 0.678 0.858
Dy 0.790 0.790 0.429
Y 0.439 0.439 0.713
Y 0.561 0.561 0.287

Its total magnetization is 0.00 μB/f.u. The energy above the most stable polymorph in this dataset is 0 meV per atom. The crystal system is monoclinic. As for the space group: C2/m.


(2)
VASP calculation (PBE-GGA) on Tb11Dy4Y9 after structural relaxation.

Unit cell a=15.147 b=15.147 c=3.667 alpha=90.00 beta=90.00 gamma=112.90
Atoms (fractional coordinates):
Tb 0.000 0.000 0.000
Tb 0.046 0.408 0.000
Tb 0.159 0.841 0.000
Tb 0.293 0.293 0.000
Tb 0.367 0.633 0.000
Tb 0.408 0.046 0.000
Tb 0.592 0.954 0.000
Tb 0.633 0.367 0.000
Tb 0.707 0.707 0.000
Tb 0.841 0.159 0.000
Tb 0.954 0.592 0.000
Dy 0.244 0.446 0.500
Dy 0.446 0.244 0.500
Dy 0.554 0.756 0.500
Dy 0.756 0.554 0.500
Y 0.068 0.214 0.500
Y 0.163 0.632 0.500
Y 0.214 0.068 0.500
Y 0.368 0.837 0.500
Y 0.500 0.500 0.500
Y 0.632 0.163 0.500
Y 0.786 0.932 0.500
Y 0.837 0.368 0.500
Y 0.932 0.786 0.500

Its total magnetization is 0.00 μB/f.u. The crystal system is orthorhombic. As for the space group: Cmmm. The calculation puts the energy at -5.27 eV/atom.


(3)
VASP calculation (PBE-GGA) on Tb4Dy2Y5 after structural relaxation.

Unit cell a=12.033 b=12.033 c=8.708 alpha=96.75 beta=96.75 gamma=16.63
Atoms (fractional coordinates):
Tb 0.046 0.046 0.360
Tb 0.324 0.324 0.529
Tb 0.676 0.676 0.471
Tb 0.954 0.954 0.640
Dy 0.090 0.090 0.738
Dy 0.910 0.910 0.262
Y 0.141 0.141 0.118
Y 0.231 0.231 0.823
Y 0.500 0.500 0.000
Y 0.769 0.769 0.177
Y 0.859 0.859 0.882

Its total magnetization is 0.00 μB/f.u. The energy above the most stable polymorph in this dataset is 115 meV per atom. The crystal system is monoclinic. As for the space group: C2/m.


(4)
VASP calculation (PBE-GGA) on Tb7DyY3 after structural relaxation.

Unit cell a=7.067 b=7.067 c=8.628 alpha=90.00 beta=90.00 gamma=120.00
Atoms (fractional coordinates):
Tb 0.000 0.000 0.000
Tb 0.165 0.331 0.327
Tb 0.165 0.835 0.327
Tb 0.501 0.003 0.994
Tb 0.501 0.499 0.994
Tb 0.669 0.835 0.327
Tb 0.997 0.499 0.994
Dy 0.667 0.333 0.321
Y 0.333 0.167 0.660
Y 0.833 0.167 0.660
Y 0.833 0.667 0.660

Its total magnetization is 0.00 μB/f.u. The energy above the most stable polymorph in this dataset is 44 meV per atom. The crystal system is trigonal. As for the space group: P3m1.


(5)
VASP calculation (PBE-GGA) on Tb4Dy3Y2 after structural relaxation.

Unit cell a=9.974 b=9.974 c=6.126 alpha=94.84 beta=94.84 gamma=70.96
Atoms (fractional coordinates):
Tb 0.094 0.813 0.987
Tb 0.143 0.430 0.155
Tb 0.187 0.906 0.513
Tb 0.430 0.143 0.655
Tb 0.570 0.857 0.345
Tb 0.813 0.094 0.487
Tb 0.857 0.570 0.845
Tb 0.906 0.187 0.013
Dy 0.071 0.263 0.582
Dy 0.263 0.071 0.082
Dy 0.401 0.599 0.250
Dy 0.599 0.401 0.750
Dy 0.737 0.929 0.918
Dy 0.929 0.737 0.418
Y 0.240 0.519 0.682
Y 0.481 0.760 0.818
Y 0.519 0.240 0.182
Y 0.760 0.481 0.318

Its total magnetization is 0.00 μB/f.u. The energy above the most stable polymorph in this dataset is 80 meV per atom. The crystal system is monoclinic. As for the space group: C2/c.


(6)
VASP calculation (PBE-GGA) on Tb2DyY12 after structural relaxation.

Unit cell a=3.650 b=5.702 c=23.567 alpha=90.00 beta=94.41 gamma=90.00
Atoms (fractional coordinates):
Tb 0.143 0.000 0.285
Tb 0.857 0.000 0.715
Dy 0.000 0.000 0.000
Y 0.098 0.500 0.193
Y 0.221 0.500 0.443
Y 0.289 0.000 0.575
Y 0.339 0.500 0.678
Y 0.426 0.000 0.854
Y 0.464 0.500 0.934
Y 0.536 0.500 0.066
Y 0.574 0.000 0.146
Y 0.661 0.500 0.322
Y 0.711 0.000 0.425
Y 0.779 0.500 0.557
Y 0.902 0.500 0.807

Its total magnetization is 0.00 μB/f.u. The crystal system is monoclinic. As for the space group: P2/m. The calculation puts the energy at -6.02 eV/atom.


(7)
VASP calculation (PBE-GGA) on Tb8Dy2Y3 after structural relaxation.

Unit cell a=10.825 b=10.825 c=5.624 alpha=90.00 beta=90.00 gamma=138.70
Atoms (fractional coordinates):
Tb 0.133 0.867 0.000
Tb 0.182 0.398 0.500
Tb 0.332 0.668 0.000
Tb 0.398 0.182 0.500
Tb 0.602 0.818 0.500
Tb 0.668 0.332 0.000
Tb 0.818 0.602 0.500
Tb 0.867 0.133 0.000
Dy 0.241 0.759 0.500
Dy 0.759 0.241 0.500
Y 0.000 0.000 0.500
Y 0.285 0.285 0.000
Y 0.715 0.715 0.000

Its total magnetization is 0.00 μB/f.u. The crystal system is orthorhombic. As for the space group: Cmmm. The calculation puts the energy at -4.82 eV/atom.


(8)
VASP calculation (PBE-GGA) on Tb5DyY4 after structural relaxation.

Unit cell a=3.565 b=6.817 c=13.942 alpha=97.60 beta=90.08 gamma=105.10
Atoms (fractional coordinates):
Tb 0.000 0.000 0.000
Tb 0.046 0.082 0.385
Tb 0.309 0.625 0.416
Tb 0.691 0.375 0.584
Tb 0.954 0.918 0.615
Dy 0.000 0.500 0.000
Y 0.352 0.673 0.789
Y 0.424 0.797 0.193
Y 0.576 0.203 0.807
Y 0.648 0.327 0.211

Its total magnetization is 0.00 μB/f.u. The energy above the most stable polymorph in this dataset is 0 meV per atom. The crystal system is triclinic. As for the space group: P-1.


(9)
VASP calculation (PBE-GGA) on Tb5Dy2Y12 after structural relaxation.

Unit cell a=6.746 b=8.828 c=11.405 alpha=111.04 beta=92.29 gamma=100.51
Atoms (fractional coordinates):
Tb 0.000 0.000 0.000
Tb 0.343 0.616 0.431
Tb 0.455 0.818 0.038
Tb 0.545 0.182 0.962
Tb 0.657 0.384 0.569
Dy 0.122 0.267 0.515
Dy 0.878 0.733 0.485
Y 0.108 0.691 0.722
Y 0.120 0.857 0.270
Y 0.162 0.445 0.088
Y 0.335 0.428 0.812
Y 0.342 0.023 0.631
Y 0.385 0.220 0.254
Y 0.615 0.780 0.746
Y 0.658 0.977 0.369
Y 0.665 0.572 0.188
Y 0.838 0.555 0.912
Y 0.880 0.143 0.730
Y 0.892 0.309 0.278

Its total magnetization is 0.00 μB/f.u. The energy above the most stable polymorph in this dataset is 0 meV per atom. The crystal system is triclinic. As for the space group: P-1.


(10)
VASP calculation (PBE-GGA) on Tb5Dy3Y3 after structural relaxation.

Unit cell a=9.675 b=9.675 c=5.594 alpha=90.00 beta=90.00 gamma=120.00
Atoms (fractional coordinates):
Tb 0.000 0.718 0.000
Tb 0.282 0.282 0.000
Tb 0.333 0.667 0.000
Tb 0.667 0.333 0.000
Tb 0.718 0.000 0.000
Dy 0.000 0.362 0.000
Dy 0.362 0.000 0.000
Dy 0.638 0.638 0.000
Y 0.000 0.536 0.500
Y 0.464 0.464 0.500
Y 0.536 0.000 0.500

Its total magnetization is 0.00 μB/f.u. The crystal system is hexagonal. As for the space group: P-62m. The calculation puts the energy at -4.31 eV/atom.


(11)
VASP calculation (PBE-GGA) on Tb4DyY6 after structural relaxation.

Unit cell a=5.614 b=5.614 c=25.740 alpha=90.00 beta=90.00 gamma=118.81
Atoms (fractional coordinates):
Tb 0.026 0.974 0.621
Tb 0.026 0.974 0.879
Tb 0.341 0.659 0.543
Tb 0.341 0.659 0.957
Tb 0.659 0.341 0.043
Tb 0.659 0.341 0.457
Tb 0.974 0.026 0.121
Tb 0.974 0.026 0.379
Dy 0.318 0.682 0.250
Dy 0.682 0.318 0.750
Y 0.000 0.000 0.000
Y 0.000 0.000 0.500
Y 0.016 0.984 0.750
Y 0.312 0.688 0.104
Y 0.312 0.688 0.396
Y 0.353 0.647 0.682
Y 0.353 0.647 0.818
Y 0.647 0.353 0.182
Y 0.647 0.353 0.318
Y 0.688 0.312 0.604
Y 0.688 0.312 0.896
Y 0.984 0.016 0.250

Its total magnetization is 0.00 μB/f.u. The energy above the most stable polymorph in this dataset is 0 meV per atom. The crystal system is orthorhombic. As for the space group: Cmcm.


(12)
VASP calculation (PBE-GGA) on Tb3DyY7 after structural relaxation.

Unit cell a=6.924 b=5.545 c=10.026 alpha=90.00 beta=109.86 gamma=90.00
Atoms (fractional coordinates):
Tb 0.000 0.000 0.000
Tb 0.279 0.500 0.498
Tb 0.721 0.500 0.502
Dy 0.500 0.000 0.000
Y 0.000 0.000 0.500
Y 0.146 0.500 0.789
Y 0.318 0.500 0.137
Y 0.418 0.000 0.330
Y 0.582 0.000 0.670
Y 0.682 0.500 0.863
Y 0.854 0.500 0.211

Its total magnetization is 0.00 μB/f.u. The energy above the most stable polymorph in this dataset is 0 meV per atom. The crystal system is monoclinic. As for the space group: P2/m.


(13)
VASP calculation (PBE-GGA) on Tb4Dy5Y2 after structural relaxation.

Unit cell a=3.550 b=8.710 c=11.790 alpha=75.85 beta=81.42 gamma=89.99
Atoms (fractional coordinates):
Tb 0.046 0.362 0.409
Tb 0.318 0.545 0.864
Tb 0.682 0.455 0.136
Tb 0.954 0.638 0.591
Dy 0.136 0.092 0.227
Dy 0.228 0.819 0.044
Dy 0.500 0.000 0.500
Dy 0.772 0.181 0.956
Dy 0.864 0.908 0.773
Y 0.409 0.273 0.682
Y 0.591 0.727 0.318

Its total magnetization is 0.00 μB/f.u. The energy above the most stable polymorph in this dataset is 0 meV per atom. The crystal system is triclinic. As for the space group: P-1.


(14)
VASP calculation (PBE-GGA) on TbDy7Y3 after structural relaxation.

Unit cell a=6.999 b=5.534 c=9.890 alpha=90.00 beta=110.52 gamma=90.00
Atoms (fractional coordinates):
Tb 0.000 0.000 0.000
Dy 0.084 0.000 0.670
Dy 0.179 0.500 0.858
Dy 0.353 0.500 0.208
Dy 0.500 0.000 0.500
Dy 0.647 0.500 0.792
Dy 0.821 0.500 0.142
Dy 0.916 0.000 0.330
Y 0.221 0.500 0.501
Y 0.500 0.000 0.000
Y 0.779 0.500 0.499

Its total magnetization is 0.00 μB/f.u. The crystal system is monoclinic. As for the space group: P2/m. The calculation puts the energy at -4.96 eV/atom.


(15)
VASP calculation (PBE-GGA) on Tb2DyY after structural relaxation.

Unit cell a=6.732 b=6.732 c=6.732 alpha=148.66 beta=65.31 gamma=124.31
Atoms (fractional coordinates):
Tb 0.249 0.000 0.249
Tb 0.751 0.000 0.751
Dy 0.832 0.332 0.500
Y 0.333 0.333 0.000

Its total magnetization is 0.00 μB/f.u. The energy above the most stable polymorph in this dataset is 1 meV per atom. The crystal system is orthorhombic. As for the space group: Imm2.


(16)
VASP calculation (PBE-GGA) on Tb7DyY2 after structural relaxation.

Unit cell a=9.798 b=9.798 c=5.147 alpha=90.00 beta=90.00 gamma=128.00
Atoms (fractional coordinates):
Tb 0.000 0.000 0.000
Tb 0.214 0.425 0.000
Tb 0.307 0.693 0.500
Tb 0.425 0.214 0.000
Tb 0.575 0.786 0.000
Tb 0.693 0.307 0.500
Tb 0.786 0.575 0.000
Dy 0.500 0.500 0.500
Y 0.204 0.796 0.000
Y 0.796 0.204 0.000

Its total magnetization is 0.00 μB/f.u. The energy above the most stable polymorph in this dataset is 675 meV per atom. The crystal system is orthorhombic. As for the space group: Cmmm.


(17)
VASP calculation (PBE-GGA) on Tb2Dy3Y7 after structural relaxation.

Unit cell a=5.802 b=3.582 c=18.688 alpha=90.00 beta=93.51 gamma=90.00
Atoms (fractional coordinates):
Tb 0.206 0.000 0.295
Tb 0.794 0.000 0.705
Dy 0.000 0.000 0.000
Dy 0.280 0.500 0.633
Dy 0.720 0.500 0.367
Y 0.182 0.500 0.144
Y 0.242 0.000 0.463
Y 0.314 0.000 0.821
Y 0.500 0.500 0.000
Y 0.686 0.000 0.179
Y 0.758 0.000 0.537
Y 0.818 0.500 0.856

Its total magnetization is 0.00 μB/f.u. The energy above the most stable polymorph in this dataset is 9 meV per atom. The crystal system is monoclinic. As for the space group: P2/m.


(18)
VASP calculation (PBE-GGA) on Tb8Dy3Y3 after structural relaxation.

Unit cell a=9.638 b=9.638 c=9.638 alpha=146.14 beta=111.91 gamma=78.26
Atoms (fractional coordinates):
Tb 0.056 0.396 0.660
Tb 0.063 0.222 0.841
Tb 0.263 0.604 0.660
Tb 0.381 0.222 0.159
Tb 0.619 0.778 0.841
Tb 0.737 0.396 0.340
Tb 0.937 0.778 0.159
Tb 0.944 0.604 0.340
Dy 0.000 0.000 0.000
Dy 0.297 0.000 0.297
Dy 0.703 0.000 0.703
Y 0.319 0.819 0.500
Y 0.500 0.500 0.000
Y 0.681 0.181 0.500

Its total magnetization is 0.00 μB/f.u. The crystal system is orthorhombic. As for the space group: Immm. The calculation puts the energy at -4.91 eV/atom.


(19)
VASP calculation (PBE-GGA) on Tb15DyY4 after structural relaxation.

Unit cell a=5.039 b=5.039 c=25.190 alpha=90.00 beta=90.00 gamma=90.00
Atoms (fractional coordinates):
Tb 0.000 0.000 0.000
Tb 0.000 0.000 0.200
Tb 0.000 0.000 0.400
Tb 0.000 0.000 0.600
Tb 0.000 0.000 0.800
Tb 0.000 0.500 0.100
Tb 0.000 0.500 0.300
Tb 0.000 0.500 0.500
Tb 0.000 0.500 0.700
Tb 0.000 0.500 0.900
Tb 0.500 0.000 0.100
Tb 0.500 0.000 0.300
Tb 0.500 0.000 0.500
Tb 0.500 0.000 0.700
Tb 0.500 0.000 0.900
Dy 0.500 0.500 0.000
Y 0.500 0.500 0.200
Y 0.500 0.500 0.400
Y 0.500 0.500 0.600
Y 0.500 0.500 0.800

Its total magnetization is 0.00 μB/f.u. The crystal system is tetragonal. As for the space group: P4/mmm. The calculation puts the energy at -4.98 eV/atom.